! RbVZn2F8 (PBE with a Hubbard U, relaxed); values from VASP
&SYSTEM
  ibrav = 0, nat = 12, ntyp = 4
/
ATOMIC_SPECIES
Rb 85.47 Rb.upf
V 50.94 V.upf
Zn 65.41 Zn.upf
F 19.00 F.upf
CELL_PARAMETERS angstrom
-1.157 4.155 2.987
-4.449 0.076 2.778
2.309 -2.309 8.714
ATOMIC_POSITIONS crystal
Rb 0.500 0.500 0.500
V 0.000 0.000 0.000
Zn 0.263 0.263 0.212
Zn 0.737 0.737 0.788
F 0.192 0.192 0.424
F 0.651 0.260 0.133
F 0.808 0.808 0.576
F 0.957 0.651 0.133
F 0.043 0.349 0.867
F 0.260 0.957 0.133
F 0.740 0.043 0.867
F 0.349 0.740 0.867
! Total DFT energy (no corrections), eV per formula unit: -56.45
! Space-group type: R-3 (148)